# 1
## LiErMgHg (PBE)

Data for crystalline LiErMgHg at its relaxed geometry.

a b c (Å): 4.9487 4.9487 4.9487
angles (deg): 60.00 60.00 60.00
Fractional coordinates of all 4 atoms:
Li  0.0000  0.0000  0.0000
Hg  0.5000  0.5000  0.5000
Mg  0.2500  0.2500  0.2500
Er  0.7500  0.7500  0.7500

Values from the calculation:
* symmetry: F-43m
* magnetic moment: 0.00 μB per cell
* energy of formation from the pure elements: -1.24 eV per formula unit
* energy: -9.61 eV for the cell shown

# 2
## LiNdErHg (PBE)

Data for crystalline LiNdErHg at its relaxed geometry.

a b c (Å): 5.2901 5.2901 5.2901
angles (deg): 60.00 60.00 60.00
Site moments in Bohr magnetons follow the coordinates.
Fractional coordinates of all 4 atoms:
Hg  0.5000  0.5000  0.5000  0.01
Nd  0.2500  0.2500  0.2500  0.05
Er  0.7500  0.7500  0.7500  0.07
Li  0.0000  0.0000  0.0000  0.01

Values from the calculation:
* symmetry: F-43m
* magnetic moment: 0.24 μB per cell
* energy of formation from the pure elements: -0.80 eV per formula unit
* energy: -12.34 eV for the cell shown